# ZnCoN3 | the Alexandria database | PBE | optimized geometry
# Mass density in Mg/m³: 5.61
# Uncorrected formation energy in eV/atom: 1.50
# Total DFT energy (no corrections) in eV/atom: -5.1669
data_ZnCoN3
_symmetry_space_group_name_H-M 'P m -3 m'
_symmetry_Int_Tables_number 221
_symmetry_space_group_name_Hall '-P 4 2 3'
_cell_length_a 3.6655
_cell_length_b 3.6655
_cell_length_c 3.6655
_cell_angle_alpha 90.00
_cell_angle_beta 90.00
_cell_angle_gamma 90.00
loop_
_atom_site_label
_atom_site_type_symbol
_atom_site_fract_x
_atom_site_fract_y
_atom_site_fract_z
_atom_site_occupancy
Zn1 Zn 0.0000 0.0000 0.0000 1
Co1 Co 0.5000 0.5000 0.5000 1
N1 N 0.0000 0.5000 0.5000 1